Record 1
# Tl2ReNi GGA-PBEsol optimized geometry
data_Tl2ReNi
_space_group_name_H-M_alt 'F -4 3 m'
_space_group_IT_number 216
_space_group_name_Hall 'F -4 2 3'
_cell_length_a 6.568
_cell_length_b 6.568
_cell_length_c 6.568
_cell_angle_alpha 90.00
_cell_angle_beta 90.00
_cell_angle_gamma 90.00
loop_
_atom_site_label
_atom_site_type_symbol
_atom_site_fract_x
_atom_site_fract_y
_atom_site_fract_z
Tl1 Tl 0.000 0.000 0.000
Tl2 Tl 0.250 0.250 0.250
Re1 Re 0.000 0.000 0.500
Ni1 Ni 0.250 0.250 0.750
# D(E_F): 6.4 states/eV/f.u.
# ΔH_f (0 K): 1.182 eV per atom

***

Record 2
# Tl2ReNi GGA-PBEsol optimized geometry
data_Tl2ReNi
_space_group_name_H-M_alt 'P 1 2/m 1'
_space_group_IT_number 10
_space_group_name_Hall '-P 2y'
_cell_length_a 4.723
_cell_length_b 3.019
_cell_length_c 5.334
_cell_angle_alpha 90.00
_cell_angle_beta 113.19
_cell_angle_gamma 90.00
loop_
_atom_site_label
_atom_site_type_symbol
_atom_site_fract_x
_atom_site_fract_y
_atom_site_fract_z
Tl1 Tl 0.000 0.000 0.000
Tl2 Tl 0.000 0.500 0.500
Re1 Re 0.500 0.000 0.500
Ni1 Ni 0.500 0.500 0.000
# D(E_F): 2.7 states/eV/f.u.
# ΔH_f (0 K): 0.830 eV per atom

***

Record 3
# TlReNi2 GGA-PBEsol optimized geometry
data_TlReNi2
_space_group_name_H-M_alt 'R 3 m'
_space_group_IT_number 160
_space_group_name_Hall 'R 3 -2"'
_cell_length_a 2.8304
_cell_length_b 2.8304
_cell_length_c 25.1784
_cell_angle_alpha 90.00
_cell_angle_beta 90.00
_cell_angle_gamma 120.00
loop_
_atom_site_label
_atom_site_type_symbol
_atom_site_fract_x
_atom_site_fract_y
_atom_site_fract_z
Tl1 Tl 0.0000 0.0000 0.0000
Re1 Re 0.0000 0.0000 0.7664
Ni1 Ni 0.0000 0.0000 0.2478
Ni2 Ni 0.0000 0.0000 0.5079
# D(E_F): 4.9 states/eV/f.u.
# ΔH_f (0 K): 0.604 eV per atom

***

Number 1: calculated total energy -5.01 eV/atom. Number 2: calculated total energy -5.36 eV/atom. Number 3: calculated total energy -6.47 eV/atom.